This record from the Open Quantum Materials Database describes a geometry-optimized PrTmGa4Ir2 structure. The functional is GGA-PBE.

Its space group is Pm (6). The value obtained for the volume is 19.3 Å³/atom. The value obtained for the total energy is -5.59 eV/atom.

Unit cell a=4.238 b=7.076 c=5.557 alpha=90.00 beta=112.16 gamma=90.00
Element x y z (fractional)
Tm  0.073  0.000  0.147
Ga  0.355  0.808  0.708
Ga  0.644  0.298  0.290
Ga  0.644  0.702  0.290
Ga  0.355  0.192  0.708
Pr  0.928  0.500  0.857
Ir  0.211  0.500  0.424
Ir  0.790  0.000  0.577